[1]
# LaDy4Tm5, relaxed, DFT PBE-GGA
data_LaDy4Tm5
_chemical_formula_sum 'La1 Dy4 Tm5'
_cell_length_a 7.847
_cell_length_b 7.847
_cell_length_c 7.847
_cell_angle_alpha 99.12
_cell_angle_beta 99.12
_cell_angle_gamma 133.08
_space_group_name_H-M_alt 'P 1'
_space_group_IT_number 1
loop_
_space_group_symop_operation_xyz
'x,y,z'
loop_
_atom_site_label
_atom_site_type_symbol
_atom_site_fract_x
_atom_site_fract_y
_atom_site_fract_z
La1 La 0.000 0.000 0.000
Dy1 Dy 0.121 0.822 0.404
Dy2 Dy 0.418 0.717 0.596
Dy3 Dy 0.717 0.121 0.299
Dy4 Dy 0.822 0.418 0.701
Tm1 Tm 0.043 0.133 0.621
Tm2 Tm 0.133 0.512 0.090
Tm3 Tm 0.421 0.043 0.910
Tm4 Tm 0.512 0.421 0.379
Tm5 Tm 0.541 0.541 0.000
# symmetry	I4
# DFT total energy	-4.261	eV/atom
# formation energy from the elements	0.31	eV/atom
# offset from the most stable computed form	241	meV per atom
# volume	323.8	Å³/cell
# total moment	0.00	Bohr magnetons per cell



[2]
# LaDy4Tm5, relaxed, DFT PBE-GGA
data_LaDy4Tm5
_chemical_formula_sum 'La1 Dy4 Tm5'
_cell_length_a 3.534
_cell_length_b 6.600
_cell_length_c 14.165
_cell_angle_alpha 98.88
_cell_angle_beta 93.84
_cell_angle_gamma 103.14
_space_group_name_H-M_alt 'P 1'
_space_group_IT_number 1
loop_
_space_group_symop_operation_xyz
'x,y,z'
loop_
_atom_site_label
_atom_site_type_symbol
_atom_site_fract_x
_atom_site_fract_y
_atom_site_fract_z
La1 La 0.000 0.000 0.000
Dy1 Dy 0.108 0.804 0.220
Dy2 Dy 0.210 0.731 0.801
Dy3 Dy 0.790 0.269 0.199
Dy4 Dy 0.892 0.196 0.780
Tm1 Tm 0.207 0.882 0.582
Tm2 Tm 0.497 0.428 0.611
Tm3 Tm 0.500 0.500 0.000
Tm4 Tm 0.503 0.572 0.389
Tm5 Tm 0.793 0.118 0.418
# symmetry	P-1
# DFT total energy	-4.502	eV/atom
# formation energy from the elements	0.07	eV/atom
# offset from the most stable computed form	0	meV per atom
# volume	316.1	Å³/cell
# total moment	0.00	Bohr magnetons per cell



[3]
# La3Dy2Tm5, relaxed, DFT PBE-GGA
data_La3Dy2Tm5
_chemical_formula_sum 'La6 Dy4 Tm10'
_cell_length_a 9.710
_cell_length_b 9.710
_cell_length_c 9.317
_cell_angle_alpha 108.00
_cell_angle_beta 108.00
_cell_angle_gamma 113.93
_space_group_name_H-M_alt 'P 1'
_space_group_IT_number 1
loop_
_space_group_symop_operation_xyz
'x,y,z'
loop_
_atom_site_label
_atom_site_type_symbol
_atom_site_fract_x
_atom_site_fract_y
_atom_site_fract_z
La1 La 0.018 0.270 0.046
La2 La 0.237 0.763 0.750
La3 La 0.270 0.018 0.546
La4 La 0.730 0.982 0.454
La5 La 0.763 0.237 0.250
La6 La 0.982 0.730 0.954
Dy1 Dy 0.234 0.465 0.454
Dy2 Dy 0.465 0.234 0.954
Dy3 Dy 0.535 0.766 0.046
Dy4 Dy 0.766 0.535 0.546
Tm1 Tm 0.026 0.974 0.750
Tm2 Tm 0.152 0.372 0.772
Tm3 Tm 0.274 0.726 0.250
Tm4 Tm 0.372 0.152 0.272
Tm5 Tm 0.471 0.529 0.250
Tm6 Tm 0.529 0.471 0.750
Tm7 Tm 0.628 0.848 0.728
Tm8 Tm 0.726 0.274 0.750
Tm9 Tm 0.848 0.628 0.228
Tm10 Tm 0.974 0.026 0.250
# symmetry	C2/c
# DFT total energy	-4.441	eV/atom
# formation energy from the elements	0.19	eV/atom
# volume	661.4	Å³/cell
# total moment	0.00	Bohr magnetons per cell



[4]
# La6DyTm, relaxed, DFT PBE-GGA
data_La6DyTm
_chemical_formula_sum 'La6 Dy1 Tm1'
_cell_length_a 5.193
_cell_length_b 5.193
_cell_length_c 10.384
_cell_angle_alpha 90.00
_cell_angle_beta 90.00
_cell_angle_gamma 90.00
_space_group_name_H-M_alt 'P 1'
_space_group_IT_number 1
loop_
_space_group_symop_operation_xyz
'x,y,z'
loop_
_atom_site_label
_atom_site_type_symbol
_atom_site_fract_x
_atom_site_fract_y
_atom_site_fract_z
La1 La 0.000 0.000 0.000
La2 La 0.000 0.000 0.500
La3 La 0.000 0.500 0.249
La4 La 0.000 0.500 0.751
La5 La 0.500 0.000 0.249
La6 La 0.500 0.000 0.751
Dy1 Dy 0.500 0.500 0.500
Tm1 Tm 0.500 0.500 0.000
# symmetry	P4/mmm
# DFT total energy	-4.823	eV/atom
# formation energy from the elements	0.01	eV/atom
# volume	280.1	Å³/cell
# total moment	0.00	Bohr magnetons per cell



[5]
# La4DyTm15, relaxed, DFT PBE-GGA
data_La4DyTm15
_chemical_formula_sum 'La4 Dy1 Tm15'
_cell_length_a 5.029
_cell_length_b 5.029
_cell_length_c 24.954
_cell_angle_alpha 90.00
_cell_angle_beta 90.00
_cell_angle_gamma 90.00
_space_group_name_H-M_alt 'P 1'
_space_group_IT_number 1
loop_
_space_group_symop_operation_xyz
'x,y,z'
loop_
_atom_site_label
_atom_site_type_symbol
_atom_site_fract_x
_atom_site_fract_y
_atom_site_fract_z
La1 La 0.000 0.000 0.101
La2 La 0.000 0.000 0.300
La3 La 0.000 0.000 0.700
La4 La 0.000 0.000 0.899
Dy1 Dy 0.000 0.000 0.500
Tm1 Tm 0.000 0.500 0.000
Tm2 Tm 0.000 0.500 0.201
Tm3 Tm 0.000 0.500 0.403
Tm4 Tm 0.000 0.500 0.597
Tm5 Tm 0.000 0.500 0.799
Tm6 Tm 0.500 0.000 0.000
Tm7 Tm 0.500 0.000 0.201
Tm8 Tm 0.500 0.000 0.403
Tm9 Tm 0.500 0.000 0.597
Tm10 Tm 0.500 0.000 0.799
Tm11 Tm 0.500 0.500 0.100
Tm12 Tm 0.500 0.500 0.302
Tm13 Tm 0.500 0.500 0.500
Tm14 Tm 0.500 0.500 0.698
Tm15 Tm 0.500 0.500 0.900
# symmetry	P4/mmm
# DFT total energy	-4.530	eV/atom
# formation energy from the elements	0.04	eV/atom
# volume	631.1	Å³/cell
# total moment	0.00	Bohr magnetons per cell



[6]
# La2Dy2Tm, relaxed, DFT PBE-GGA
data_La2Dy2Tm
_chemical_formula_sum 'La4 Dy4 Tm2'
_cell_length_a 16.763
_cell_length_b 16.763
_cell_length_c 16.763
_cell_angle_alpha 167.81
_cell_angle_beta 160.43
_cell_angle_gamma 23.12
_space_group_name_H-M_alt 'P 1'
_space_group_IT_number 1
loop_
_space_group_symop_operation_xyz
'x,y,z'
loop_
_atom_site_label
_atom_site_type_symbol
_atom_site_fract_x
_atom_site_fract_y
_atom_site_fract_z
La1 La 0.042 0.292 0.750
La2 La 0.435 0.185 0.250
La3 La 0.565 0.815 0.750
La4 La 0.958 0.708 0.250
Dy1 Dy 0.133 0.883 0.250
Dy2 Dy 0.229 0.979 0.250
Dy3 Dy 0.771 0.021 0.750
Dy4 Dy 0.867 0.117 0.750
Tm1 Tm 0.323 0.573 0.750
Tm2 Tm 0.677 0.427 0.250
# symmetry	Imma
# DFT total energy	-4.573	eV/atom
# formation energy from the elements	0.13	eV/atom
# offset from the most stable computed form	97	meV per atom
# volume	333.2	Å³/cell
# total moment	0.00	Bohr magnetons per cell



[7]
# La2Dy2Tm, relaxed, DFT PBE-GGA
data_La2Dy2Tm
_chemical_formula_sum 'La4 Dy4 Tm2'
_cell_length_a 6.849
_cell_length_b 6.849
_cell_length_c 9.359
_cell_angle_alpha 108.07
_cell_angle_beta 108.07
_cell_angle_gamma 55.58
_space_group_name_H-M_alt 'P 1'
_space_group_IT_number 1
loop_
_space_group_symop_operation_xyz
'x,y,z'
loop_
_atom_site_label
_atom_site_type_symbol
_atom_site_fract_x
_atom_site_fract_y
_atom_site_fract_z
La1 La 0.032 0.365 0.150
La2 La 0.365 0.032 0.650
La3 La 0.635 0.968 0.350
La4 La 0.968 0.635 0.850
Dy1 Dy 0.237 0.568 0.551
Dy2 Dy 0.432 0.763 0.949
Dy3 Dy 0.568 0.237 0.051
Dy4 Dy 0.763 0.432 0.449
Tm1 Tm 0.169 0.831 0.250
Tm2 Tm 0.831 0.169 0.750
# symmetry	C2/c
# DFT total energy	-4.671	eV/atom
# formation energy from the elements	0.04	eV/atom
# offset from the most stable computed form	0	meV per atom
# volume	339.2	Å³/cell
# total moment	0.00	Bohr magnetons per cell



[8]
# La3Dy3Tm2, relaxed, DFT PBE-GGA
data_La3Dy3Tm2
_chemical_formula_sum 'La3 Dy3 Tm2'
_cell_length_a 10.860
_cell_length_b 10.860
_cell_length_c 10.860
_cell_angle_alpha 153.10
_cell_angle_beta 152.64
_cell_angle_gamma 38.74
_space_group_name_H-M_alt 'P 1'
_space_group_IT_number 1
loop_
_space_group_symop_operation_xyz
'x,y,z'
loop_
_atom_site_label
_atom_site_type_symbol
_atom_site_fract_x
_atom_site_fract_y
_atom_site_fract_z
La1 La 0.000 0.000 0.000
La2 La 0.374 0.874 0.500
La3 La 0.626 0.126 0.500
Dy1 Dy 0.129 0.629 0.500
Dy2 Dy 0.500 0.500 0.000
Dy3 Dy 0.871 0.371 0.500
Tm1 Tm 0.249 0.249 0.000
Tm2 Tm 0.751 0.751 0.000
# symmetry	Immm
# DFT total energy	-4.656	eV/atom
# formation energy from the elements	0.04	eV/atom
# volume	265.9	Å³/cell
# total moment	0.00	Bohr magnetons per cell



[9]
# La5Dy2Tm, relaxed, DFT PBE-GGA
data_La5Dy2Tm
_chemical_formula_sum 'La10 Dy4 Tm2'
_cell_length_a 8.988
_cell_length_b 8.988
_cell_length_c 11.589
_cell_angle_alpha 90.00
_cell_angle_beta 90.00
_cell_angle_gamma 142.54
_space_group_name_H-M_alt 'P 1'
_space_group_IT_number 1
loop_
_space_group_symop_operation_xyz
'x,y,z'
loop_
_atom_site_label
_atom_site_type_symbol
_atom_site_fract_x
_atom_site_fract_y
_atom_site_fract_z
La1 La 0.048 0.952 0.614
La2 La 0.048 0.952 0.886
La3 La 0.388 0.612 0.250
La4 La 0.411 0.589 0.586
La5 La 0.411 0.589 0.914
La6 La 0.589 0.411 0.086
La7 La 0.589 0.411 0.414
La8 La 0.612 0.388 0.750
La9 La 0.952 0.048 0.114
La10 La 0.952 0.048 0.386
Dy1 Dy 0.216 0.784 0.083
Dy2 Dy 0.216 0.784 0.417
Dy3 Dy 0.784 0.216 0.583
Dy4 Dy 0.784 0.216 0.917
Tm1 Tm 0.230 0.770 0.750
Tm2 Tm 0.770 0.230 0.250
# symmetry	Cmcm
# DFT total energy	-4.661	eV/atom
# formation energy from the elements	0.13	eV/atom
# offset from the most stable computed form	13	meV per atom
# volume	569.5	Å³/cell
# total moment	0.00	Bohr magnetons per cell



[10]
# La4Dy5Tm4, relaxed, DFT PBE-GGA
data_La4Dy5Tm4
_chemical_formula_sum 'La4 Dy5 Tm4'
_cell_length_a 9.509
_cell_length_b 9.509
_cell_length_c 9.509
_cell_angle_alpha 94.10
_cell_angle_beta 94.10
_cell_angle_gamma 149.00
_space_group_name_H-M_alt 'P 1'
_space_group_IT_number 1
loop_
_space_group_symop_operation_xyz
'x,y,z'
loop_
_atom_site_label
_atom_site_type_symbol
_atom_site_fract_x
_atom_site_fract_y
_atom_site_fract_z
La1 La 0.153 0.771 0.924
La2 La 0.229 0.153 0.381
La3 La 0.771 0.847 0.619
La4 La 0.847 0.229 0.076
Dy1 Dy 0.000 0.000 0.000
Dy2 Dy 0.306 0.537 0.843
Dy3 Dy 0.463 0.306 0.769
Dy4 Dy 0.537 0.694 0.231
Dy5 Dy 0.694 0.463 0.157
Tm1 Tm 0.076 0.388 0.465
Tm2 Tm 0.388 0.924 0.312
Tm3 Tm 0.612 0.076 0.688
Tm4 Tm 0.924 0.612 0.535
# symmetry	I4/m
# DFT total energy	-4.628	eV/atom
# formation energy from the elements	0.03	eV/atom
# volume	426.8	Å³/cell
# total moment	0.00	Bohr magnetons per cell